No. 1
The following is a PBE-GGA calculation of an optimized crystal structure of FeAuS, from Alexandria via LeMat-Bulk.

Lattice parameters (Å, degrees): 3.644 3.644 9.302 90.00 90.00 90.00
Element x y z (fractional)
1 Fe 0.250 0.750 0.000
2 Fe 0.750 0.250 0.000
3 Au 0.250 0.250 0.466
4 Au 0.750 0.750 0.534
5 S 0.250 0.250 0.872
6 S 0.750 0.750 0.128

Calculated values
size of the total moment	0.00	μB/atom
formation energy without anion corrections	-0.14	eV per atom
symmetry	No. 129

---

No. 2
The following is a PBE-GGA calculation of an optimized crystal structure of Fe3AuS, from Alexandria via LeMat-Bulk.

Lattice parameters (Å, degrees): 4.174 4.174 4.174 90.00 90.00 90.00
Element x y z (fractional)
1 Fe 0.000 0.000 0.500
2 Fe 0.000 0.500 0.000
3 Fe 0.500 0.000 0.000
4 Au 0.500 0.500 0.500
5 S 0.000 0.000 0.000

Calculated values
size of the total moment	1.32	μB/atom
formation energy without anion corrections	0.19	eV per atom
symmetry	No. 221

---

No. 3
The following is a PBE-GGA calculation of an optimized crystal structure of FeAuS2, from Alexandria via LeMat-Bulk.

Lattice parameters (Å, degrees): 6.474 6.474 6.474 129.29 129.29 74.54
Element x y z (fractional)
1 Fe 0.000 0.000 0.000
2 Fe 0.750 0.250 0.500
3 Au 0.250 0.750 0.500
4 Au 0.500 0.500 0.000
5 S 0.081 0.625 0.956
6 S 0.375 0.331 0.456
7 S 0.669 0.125 0.044
8 S 0.875 0.919 0.544

Calculated values
size of the total moment	0.72	μB/atom
formation energy without anion corrections	-0.07	eV per atom
symmetry	No. 122

---

No. 4
The following is a PBE-GGA calculation of an optimized crystal structure of ScFe2AuS, from Alexandria via LeMat-Bulk.

Lattice parameters (Å, degrees): 4.203 4.203 4.796 90.00 90.00 90.00
Element x y z (fractional)
1 Sc 0.000 0.000 0.000
2 Fe 0.000 0.500 0.500
3 Fe 0.500 0.000 0.500
4 Au 0.500 0.500 0.000
5 S 0.000 0.000 0.500

Calculated values
size of the total moment	0.87	μB/atom
formation energy without anion corrections	-0.20	eV per atom
symmetry	No. 123